# B7C5 | the Alexandria database | PBE-GGA | optimized geometry
data_B7C5
_chemical_formula_sum 'B7 C5'
_space_group_name_H-M_alt 'P 1'
_space_group_IT_number 1
_cell_length_a 2.5544
_cell_length_b 2.5544
_cell_length_c 14.5837
_cell_angle_alpha 90.00
_cell_angle_beta 90.00
_cell_angle_gamma 120.00
loop_
_space_group_symop_operation_xyz
'x,y,z'
loop_
_atom_site_label
_atom_site_fract_x
_atom_site_fract_y
_atom_site_fract_z
_atom_site_occupancy
B1 0.0000 0.0000 0.0000 1
B2 0.0000 0.0000 0.1163 1
B3 0.0000 0.0000 0.5733 1
B4 0.3333 0.6667 0.6494 1
B5 0.3333 0.6667 0.7662 1
B6 0.6667 0.3333 0.4170 1
B7 0.6667 0.3333 0.9240 1
C1 0.0000 0.0000 0.4676 1
C2 0.3333 0.6667 0.1675 1
C3 0.3333 0.6667 0.2697 1
C4 0.6667 0.3333 0.3072 1
C5 0.6667 0.3333 0.8181 1
# space-group type = P3m1
# polymorph energy (0 for the lowest one) = 346 meV per atom
# magnetization = 0.000 μB per formula unit



# BC | the Alexandria database | PBE-GGA | optimized geometry
data_BC
_chemical_formula_sum 'B6 C6'
_space_group_name_H-M_alt 'P 1'
_space_group_IT_number 1
_cell_length_a 5.8240
_cell_length_b 5.8240
_cell_length_c 3.8636
_cell_angle_alpha 92.54
_cell_angle_beta 92.54
_cell_angle_gamma 38.47
loop_
_space_group_symop_operation_xyz
'x,y,z'
loop_
_atom_site_label
_atom_site_fract_x
_atom_site_fract_y
_atom_site_fract_z
_atom_site_occupancy
B1 0.0000 0.0000 0.0000 1
B2 0.2095 0.1235 0.4977 1
B3 0.2507 0.5869 0.8149 1
B4 0.4131 0.7493 0.1851 1
B5 0.6016 0.3984 0.5000 1
B6 0.8765 0.7905 0.5023 1
C1 0.0627 0.4392 0.2341 1
C2 0.3955 0.2576 0.0099 1
C3 0.5608 0.9373 0.7659 1
C4 0.7015 0.1212 0.2368 1
C5 0.7424 0.6045 0.9901 1
C6 0.8788 0.2985 0.7632 1
# space-group type = C2
# polymorph energy (0 for the lowest one) = 281 meV per atom
# magnetization = 0.000 μB per formula unit



# B7C5 | the Alexandria database | PBE-GGA | optimized geometry
data_B7C5
_chemical_formula_sum 'B7 C5'
_space_group_name_H-M_alt 'P 1'
_space_group_IT_number 1
_cell_length_a 4.3930
_cell_length_b 4.3930
_cell_length_c 8.0105
_cell_angle_alpha 113.68
_cell_angle_beta 113.68
_cell_angle_gamma 34.11
loop_
_space_group_symop_operation_xyz
'x,y,z'
loop_
_atom_site_label
_atom_site_fract_x
_atom_site_fract_y
_atom_site_fract_z
_atom_site_occupancy
B1 0.0000 0.0000 0.0000 1
B2 0.2473 0.2473 0.0664 1
B3 0.2962 0.2962 0.6515 1
B4 0.3364 0.3364 0.8825 1
B5 0.4077 0.4077 0.4992 1
B6 0.5373 0.5373 0.7304 1
B7 0.6338 0.6338 0.5400 1
C1 0.0305 0.0305 0.2225 1
C2 0.1194 0.1194 0.8541 1
C3 0.6217 0.6217 0.3268 1
C4 0.8151 0.8151 0.3650 1
C5 0.8366 0.8366 0.1895 1
# space-group type = Cm
# polymorph energy (0 for the lowest one) = 180 meV per atom
# magnetization = 0.000 μB per formula unit